1.
The following is a DFT calculation (PBE) of an optimized crystal structure of BC2.

Properties
Symmetry: No. 6
Formation energy (eV/atom): 0.326
Total moment (μB/f.u.): 0.00
Fermi-level density of states (states/eV per cell): 1.81
Energy above the lowest structure with this stoichiometry (meV/atom): 86

POSCAR file:
```
BC2
1.0
2.550 0.000 0.000
0.000 4.698 -0.142
0.000 -0.200 6.463
B C
4 8
direct
0.500 0.559 0.032 B
0.500 0.827 0.330 B
0.000 0.654 0.673 B
0.500 0.130 0.897 B
0.000 0.324 0.578 C
0.500 0.467 0.257 C
0.000 0.685 0.922 C
0.500 0.846 0.577 C
0.000 0.323 0.335 C
0.000 0.001 0.007 C
0.000 0.014 0.238 C
0.500 0.171 0.654 C
```


2.
The following is a DFT calculation (PBE) of an optimized crystal structure of BaThAu2.

Properties
Symmetry: No. 166
Formation energy (eV/atom): -0.538
Total moment (μB/f.u.): 0.00
Fermi-level density of states (states/eV per cell): 3.78
Energy above the lowest structure with this stoichiometry (meV/atom): 76

POSCAR file:
```
BaThAu2
1.0
4.304 0.000 0.000
2.152 3.727 0.000
2.152 1.242 8.142
Th Au Ba
1 2 1
direct
0.000 0.000 0.000 Th
0.263 0.263 0.211 Au
0.737 0.737 0.789 Au
0.500 0.500 0.500 Ba
```


3.
The following is a DFT calculation (PBE) of an optimized crystal structure of Mg3NO.

Properties
Symmetry: No. 221
Formation energy without anion corrections (meV per atom): -676
Total moment (μB/f.u.): 0.00
Fermi-level density of states (states/eV per cell): 1.85
Energy above the lowest structure with this stoichiometry (meV/atom): 606

POSCAR file:
```
Mg3NO
1.0
4.109 0.000 0.000
0.000 4.109 0.000
0.000 0.000 4.109
Mg N O
3 1 1
direct
0.000 0.500 0.000 Mg
0.000 0.000 0.500 Mg
0.500 0.000 0.000 Mg
0.000 0.000 0.000 N
0.500 0.500 0.500 O
```